BeCoNO2 PBE with a Hubbard U relaxed; energy = -5.309 eV per atom; DOS(E_F) = 3.0 states/eV/cell
1.0
-2.216 -2.535 -1.084
2.754 -2.099 -0.720
-0.123 -1.249 3.172
Be O Co N
1 2 1 1
Direct
0.000 0.000 0.000
0.500 0.000 0.000
0.000 0.500 0.000
0.500 0.500 0.500
0.000 0.000 0.500